Record 1
# Hf4Zr3Sc2 | Alexandria | PBE | relaxed
data_Hf4Zr3Sc2
_chemical_formula_sum 'Hf4 Zr3 Sc2'
_space_group_name_H-M_alt 'P 3 m 1'
_space_group_IT_number 156
_space_group_name_Hall 'P 3 -2"'
_cell_length_a 3.2157
_cell_length_b 3.2157
_cell_length_c 23.3678
_cell_angle_alpha 90.00
_cell_angle_beta 90.00
_cell_angle_gamma 120.00
loop_
_atom_site_label
_atom_site_type_symbol
_atom_site_fract_x
_atom_site_fract_y
_atom_site_fract_z
Hf1 Hf 0.0000 0.0000 0.0000
Hf2 Hf 0.0000 0.0000 0.2167
Hf3 Hf 0.3333 0.6667 0.3231
Hf4 Hf 0.3333 0.6667 0.5417
Zr1 Zr 0.0000 0.0000 0.4330
Zr2 Zr 0.3333 0.6667 0.1048
Zr3 Zr 0.3333 0.6667 0.7642
Sc1 Sc 0.0000 0.0000 0.6511
Sc2 Sc 0.0000 0.0000 0.8721
# Energy of formation, eV per formula unit: 0.3
# Fermi-level density of states, states/eV/f.u.: 10.9
# Relative energy among the computed polymorphs, meV/atom: 52.9

=====

Record 2
# LiTiGa | Alexandria | PBE | relaxed
data_LiTiGa
_chemical_formula_sum 'Li4 Ti4 Ga4'
_space_group_name_H-M_alt 'C m m m'
_space_group_IT_number 65
_space_group_name_Hall '-C 2 2'
_cell_length_a 3.6344
_cell_length_b 13.2052
_cell_length_c 4.0694
_cell_angle_alpha 90.00
_cell_angle_beta 90.00
_cell_angle_gamma 90.00
loop_
_atom_site_label
_atom_site_type_symbol
_atom_site_fract_x
_atom_site_fract_y
_atom_site_fract_z
Li1 Li 0.0000 0.0000 0.0000
Li2 Li 0.0000 0.5000 0.5000
Ti1 Ti 0.0000 0.1737 0.5000
Ga1 Ga 0.0000 0.3305 0.0000
# Energy of formation, eV per formula unit: -0.7
# Fermi-level density of states, states/eV/f.u.: 1.7
# Relative energy among the computed polymorphs, meV/atom: 56.9

=====

Record 3
# Ac12Ni2Pt5 | Alexandria | PBE | relaxed
data_Ac12Ni2Pt5
_chemical_formula_sum 'Ac24 Ni4 Pt10'
_space_group_name_H-M_alt 'C 1 2/m 1'
_space_group_IT_number 12
_space_group_name_Hall '-C 2y'
_cell_length_a 15.9269
_cell_length_b 8.4757
_cell_length_c 10.5414
_cell_angle_alpha 90.00
_cell_angle_beta 106.34
_cell_angle_gamma 90.00
loop_
_atom_site_label
_atom_site_type_symbol
_atom_site_fract_x
_atom_site_fract_y
_atom_site_fract_z
Ac1 Ac 0.0423 0.0000 0.3304
Ac2 Ac 0.0620 0.5000 0.3263
Ac3 Ac 0.1313 0.2485 0.0125
Ac4 Ac 0.1849 0.2437 0.6507
Ni1 Ni 0.0000 0.2563 0.5000
Pt1 Pt 0.0000 0.5000 0.0000
Pt2 Pt 0.2179 0.0000 0.8824
Pt3 Pt 0.2420 0.0000 0.4858
# Energy of formation, eV per formula unit: -12.0
# Fermi-level density of states, states/eV/f.u.: 16.1

=====

Record 4
# Ac2Pm4Tm3 | Alexandria | PBE | relaxed
data_Ac2Pm4Tm3
_chemical_formula_sum 'Ac8 Pm16 Tm12'
_space_group_name_H-M_alt 'F m m m'
_space_group_IT_number 69
_space_group_name_Hall '-F 2 2'
_cell_length_a 6.3223
_cell_length_b 12.4096
_cell_length_c 16.4607
_cell_angle_alpha 90.00
_cell_angle_beta 90.00
_cell_angle_gamma 90.00
loop_
_atom_site_label
_atom_site_type_symbol
_atom_site_fract_x
_atom_site_fract_y
_atom_site_fract_z
Ac1 Ac 0.0000 0.0000 0.1168
Pm1 Pm 0.0000 0.1473 0.3141
Tm1 Tm 0.0000 0.0000 0.5000
Tm2 Tm 0.2500 0.2500 0.0000
# Energy of formation, eV per formula unit: 1.5
# Fermi-level density of states, states/eV/f.u.: 16.7

=====

Record 5
# BaNa2NpCl8 | Alexandria | PBE | relaxed
data_BaNa2NpCl8
_chemical_formula_sum 'Ba1 Na2 Np1 Cl8'
_space_group_name_H-M_alt 'P 1 2/m 1'
_space_group_IT_number 10
_space_group_name_Hall '-P 2y'
_cell_length_a 6.6053
_cell_length_b 9.0252
_cell_length_c 6.6395
_cell_angle_alpha 90.00
_cell_angle_beta 90.14
_cell_angle_gamma 90.00
loop_
_atom_site_label
_atom_site_type_symbol
_atom_site_fract_x
_atom_site_fract_y
_atom_site_fract_z
Ba1 Ba 0.0000 0.0000 0.0000
Na1 Na 0.5000 0.2336 0.5000
Np1 Np 0.0000 0.5000 0.0000
Cl1 Cl 0.1815 0.2882 0.2061
Cl2 Cl 0.2909 0.5000 0.7375
Cl3 Cl 0.3344 0.0000 0.7035
# Fermi-level density of states, states/eV/f.u.: 5.0
# Formation energy from raw total energies, eV per formula unit: -22.60

=====

Record 6
# Sr3Li6Pb5 | Alexandria | PBE | relaxed
data_Sr3Li6Pb5
_chemical_formula_sum 'Sr6 Li12 Pb10'
_space_group_name_H-M_alt 'I m m m'
_space_group_IT_number 71
_space_group_name_Hall '-I 2 2'
_cell_length_a 4.9765
_cell_length_b 10.1116
_cell_length_c 14.6088
_cell_angle_alpha 90.00
_cell_angle_beta 90.00
_cell_angle_gamma 90.00
loop_
_atom_site_label
_atom_site_type_symbol
_atom_site_fract_x
_atom_site_fract_y
_atom_site_fract_z
Sr1 Sr 0.0000 0.0000 0.0000
Sr2 Sr 0.0000 0.0000 0.2924
Li1 Li 0.0000 0.1707 0.5000
Li2 Li 0.0000 0.2891 0.1381
Pb1 Pb 0.0000 0.3499 0.3467
Pb2 Pb 0.0000 0.5000 0.0000
# Energy of formation, eV per formula unit: -5.6
# Fermi-level density of states, states/eV/f.u.: 4.7